Entry 1:
The following is a DFT calculation (GGA-PBE) of a relaxed structure of Rb2SnPdSe4.

Properties
Total magnetic moment, μB/cell: 0.00
Formation energy from raw total energies, meV per atom: -661

Unit cell a=7.2436 b=8.9145 c=11.2384 alpha=82.48 beta=71.20 gamma=66.03
Last column: nearest neighbours and their distance in Å.
Atoms (fractional coordinates):
1 Pd 0.0000 0.0000 0.0000  4 Se 2.48
2 Pd 0.7500 0.5000 0.5000  4 Se 2.48
3 Se 0.3108 0.7958 0.0602  1 Pd 2.48, 1 Sn 2.60
4 Se 0.8567 0.7042 0.5602  1 Pd 2.48, 1 Sn 2.60
5 Se 0.6290 0.2042 0.0602  1 Pd 2.48, 1 Sn 2.60
6 Se 0.5831 0.2958 0.5602  1 Pd 2.48, 1 Sn 2.60
7 Se 0.1210 0.2958 0.4398  1 Pd 2.48, 1 Sn 2.60
8 Se 0.1669 0.2042 0.9398  1 Pd 2.48, 1 Sn 2.60
9 Se 0.4392 0.7042 0.4398  1 Pd 2.48, 1 Sn 2.60
10 Se 0.8933 0.7958 0.9398  1 Pd 2.48, 1 Sn 2.60
11 Rb 0.8380 0.0000 0.3240  1 Pd 3.45, 4 Se 3.48-3.69
12 Rb 0.1620 0.0000 0.6760  1 Pd 3.45, 4 Se 3.48-3.69
13 Rb 0.9120 0.5000 0.1760  1 Pd 3.45, 4 Se 3.48-3.69
14 Rb 0.5880 0.5000 0.8240  1 Pd 3.45, 4 Se 3.48-3.69
15 Sn 0.2500 0.5000 0.5000  4 Se 2.60
16 Sn 0.5000 0.0000 0.0000  4 Se 2.60



Entry 2:
The following is a DFT calculation (GGA-PBE) of a relaxed structure of Rb3TaPd2Se6.

Properties
Total magnetic moment, μB/cell: 0.00
Formation energy from raw total energies, meV per atom: -627
DOS(E_F), states/eV per atom: 0.9918

Unit cell a=7.0275 b=7.0275 c=7.9313 alpha=97.88 beta=97.88 gamma=121.19
Last column: nearest neighbours and their distance in Å.
Atoms (fractional coordinates):
1 Ta 0.0000 0.0000 0.0000  6 Se 2.59-2.64
2 Se 0.2626 0.2626 0.8226  1 Ta 2.59, 2 Pd 2.72
3 Se 0.3879 0.0643 0.1688  2 Pd 2.60-2.76, 1 Ta 2.64
4 Se 0.0643 0.3879 0.1688  2 Pd 2.60-2.76, 1 Ta 2.64
5 Se 0.6121 0.9357 0.8312  2 Pd 2.60-2.76, 1 Ta 2.64
6 Se 0.7374 0.7374 0.1774  1 Ta 2.59, 2 Pd 2.72
7 Se 0.9357 0.6121 0.8312  2 Pd 2.60-2.76, 1 Ta 2.64
8 Rb 0.1723 0.8277 0.5000  6 Se 3.41-3.44
9 Rb 0.8277 0.1723 0.5000  6 Se 3.41-3.44
10 Rb 0.5000 0.5000 0.5000  6 Se 3.40-3.41
11 Pd 0.3364 0.6636 0.0000  6 Se 2.60-2.76
12 Pd 0.6636 0.3364 0.0000  6 Se 2.60-2.76



Entry 3:
The following is a DFT calculation (GGA-PBE) of a relaxed structure of RbTa2PdSe.

Properties
Total magnetic moment, μB/cell: 2.08
Formation energy from raw total energies, meV per atom: 1313
DOS(E_F), states/eV per atom: 1.0242

Unit cell a=4.8974 b=6.0928 c=4.8974 alpha=90.00 beta=90.00 gamma=90.00
Last column: nearest neighbours and their distance in Å.
Atoms (fractional coordinates):
1 Ta 0.0000 0.0000 0.5000  2 Pd 2.45
2 Ta 0.5000 0.0000 0.0000  2 Pd 2.45
3 Rb 0.0000 0.5000 0.0000  2 Pd 3.05
4 Pd 0.0000 0.0000 0.0000  4 Ta 2.45
5 Se 0.5000 0.5000 0.5000  4 Rb 3.46



Entry 4:
The following is a DFT calculation (GGA-PBE) of a relaxed structure of Rb4Th3PdSe8.

Properties
Total magnetic moment, μB/cell: 0.02
Formation energy from raw total energies, meV per atom: -1371
DOS(E_F), states/eV per atom: 0.4168

Unit cell a=8.6271 b=9.4250 c=8.6990 alpha=117.55 beta=119.73 gamma=90.00
Last column: nearest neighbours and their distance in Å.
Atoms (fractional coordinates):
1 Pd 0.0000 0.5000 0.0000  6 Se 2.97-3.07
2 Rb 0.5000 0.0000 0.5000  6 Se 3.42-3.54
3 Rb 0.0000 0.0000 0.0000  6 Se 3.45-3.51
4 Rb 0.5000 0.0000 0.0000  6 Se 3.41-3.47
5 Rb 0.0000 0.0000 0.5000  6 Se 3.42-3.54
6 Th 0.5000 0.5000 0.5000  6 Se 2.91-2.99
7 Th 0.0000 0.5000 0.5000  6 Se 2.91-2.99
8 Th 0.5000 0.5000 0.0000  6 Se 2.92-3.00
9 Se 0.7246 0.6922 0.9572  2 Th 2.92, 1 Pd 2.97
10 Se 0.7673 0.3078 0.0428  2 Th 2.92, 1 Pd 2.97
11 Se 0.2327 0.6922 0.9572  2 Th 2.92, 1 Pd 2.97
12 Se 0.2754 0.3078 0.0428  2 Th 2.92, 1 Pd 2.97
13 Se 0.2402 0.6985 0.4805  2 Th 2.91, 1 Pd 3.07
14 Se 0.7345 0.7056 0.4691  3 Th 2.99-3.00
15 Se 0.7598 0.3015 0.5195  2 Th 2.91, 1 Pd 3.07
16 Se 0.2655 0.2944 0.5309  3 Th 2.99-3.00



Entry 5:
The following is a DFT calculation (GGA-PBE) of a relaxed structure of RbTiPdSe2.

Properties
Total magnetic moment, μB/cell: 1.78
Formation energy from raw total energies, meV per atom: -949
DOS(E_F), states/eV per atom: 0.3405

Unit cell a=5.5610 b=6.0893 c=8.1198 alpha=112.02 beta=90.00 gamma=90.00
Last column: nearest neighbours and their distance in Å.
Atoms (fractional coordinates):
1 Se 0.3110 0.3858 0.7716  1 Pd 2.44, 2 Ti 2.53
2 Se 0.6890 0.6142 0.2284  1 Pd 2.44, 2 Ti 2.53
3 Se 0.6890 0.8858 0.7716  1 Pd 2.44, 2 Ti 2.53
4 Se 0.3110 0.1142 0.2284  1 Pd 2.44, 2 Ti 2.53
5 Pd 0.0000 0.5000 0.0000  2 Se 2.44
6 Pd 0.0000 0.0000 0.0000  2 Se 2.44
7 Ti 0.5000 0.2500 0.0000  4 Se 2.53
8 Ti 0.5000 0.7500 0.0000  4 Se 2.53
9 Rb 0.2098 0.7500 0.5000  8 Se 3.36-3.71
10 Rb 0.7902 0.2500 0.5000  8 Se 3.36-3.71



Entry 6:
The following is a DFT calculation (GGA-PBE) of a relaxed structure of RbTiPdSe3.

Properties
Total magnetic moment, μB/cell: 0.00
Formation energy from raw total energies, meV per atom: -953
DOS(E_F), states/eV per atom: 0.5442

Unit cell a=3.7761 b=8.8367 c=10.0149 alpha=114.01 beta=90.00 gamma=90.00
Last column: nearest neighbours and their distance in Å.
Atoms (fractional coordinates):
1 Ti 0.7500 0.3074 0.8370  6 Se 2.54-2.68
2 Ti 0.2500 0.6926 0.1630  6 Se 2.54-2.68
3 Se 0.7500 0.2577 0.5692  2 Pd 2.48, 1 Ti 2.54
4 Se 0.2500 0.1245 0.8683  1 Pd 2.56, 2 Ti 2.59
5 Se 0.2500 0.7423 0.4308  2 Pd 2.48, 1 Ti 2.54
6 Se 0.7500 0.4694 0.1290  3 Ti 2.65-2.68
7 Se 0.7500 0.8755 0.1317  1 Pd 2.56, 2 Ti 2.59
8 Se 0.2500 0.5306 0.8710  3 Ti 2.65-2.68
9 Rb 0.2500 0.2364 0.2605  7 Se 3.43-3.64, 2 Rb 3.78
10 Rb 0.7500 0.7636 0.7395  7 Se 3.43-3.64, 2 Rb 3.78
11 Pd 0.7500 0.9057 0.3967  3 Se 2.48-2.56
12 Pd 0.2500 0.0943 0.6033  3 Se 2.48-2.56



Entry 7:
The following is a DFT calculation (GGA-PBE) of a relaxed structure of RbTiPd2Se.

Properties
Total magnetic moment, μB/cell: 2.25
Formation energy from raw total energies, meV per atom: 71
DOS(E_F), states/eV per atom: 1.0781

Unit cell a=5.0063 b=4.8737 c=5.0063 alpha=90.00 beta=90.00 gamma=90.00
Last column: nearest neighbours and their distance in Å.
Atoms (fractional coordinates):
1 Pd 0.0000 0.0000 0.5000  2 Se 2.50
2 Pd 0.5000 0.0000 0.0000  2 Se 2.50
3 Rb 0.5000 0.5000 0.5000  8 Pd 3.49, 4 Ti 3.54
4 Ti 0.0000 0.5000 0.0000  2 Se 2.44
5 Se 0.0000 0.0000 0.0000  2 Ti 2.44, 4 Pd 2.50



Entry 8:
The following is a DFT calculation (GGA-PBE) of a relaxed structure of Rb3UPd2Se6.

Properties
Total magnetic moment, μB/cell: 0.31
Formation energy from raw total energies, meV per atom: -787
DOS(E_F), states/eV per atom: 0.7575

Unit cell a=6.8709 b=6.8709 c=8.3718 alpha=97.85 beta=97.85 gamma=120.08
Last column: nearest neighbours and their distance in Å.
Atoms (fractional coordinates):
1 Se 0.0619 0.4009 0.1846  2 Pd 2.71-2.72, 1 U 2.76
2 Se 0.7228 0.7228 0.1847  2 Pd 2.71, 1 U 2.76
3 Se 0.9381 0.5991 0.8154  2 Pd 2.71-2.72, 1 U 2.76
4 Se 0.2772 0.2772 0.8153  2 Pd 2.71, 1 U 2.76
5 Se 0.5991 0.9381 0.8154  2 Pd 2.71-2.72, 1 U 2.76
6 Se 0.4009 0.0619 0.1846  2 Pd 2.71-2.72, 1 U 2.76
7 Rb 0.1670 0.8330 0.5000  6 Se 3.39-3.43
8 Rb 0.5000 0.5000 0.5000  6 Se 3.39-3.43
9 Rb 0.8330 0.1670 0.5000  6 Se 3.39-3.43
10 U 0.0000 0.0000 0.0000  6 Se 2.76
11 Pd 0.6665 0.3335 0.0000  6 Se 2.71-2.72
12 Pd 0.3335 0.6665 0.0000  6 Se 2.71-2.72



Entry 9:
The following is a DFT calculation (GGA-PBE) of a relaxed structure of Rb2UPdSe6.

Properties
Total magnetic moment, μB/cell: 0.56
Formation energy from raw total energies, meV per atom: -701
DOS(E_F), states/eV per atom: 1.1247

Unit cell a=7.4106 b=7.4106 c=7.4106 alpha=60.00 beta=60.00 gamma=90.00
Last column: nearest neighbours and their distance in Å.
Atoms (fractional coordinates):
1 U 0.0000 0.0000 0.0000  6 Se 2.66
2 Pd 0.5000 0.5000 0.0000  6 Se 2.58
3 Se 0.7459 0.7459 0.0000  1 Pd 2.58, 1 U 2.66
4 Se 0.7459 0.2541 0.0000  1 Pd 2.58, 1 U 2.66
5 Se 0.2541 0.2541 0.0000  1 Pd 2.58, 1 U 2.66
6 Se 0.2541 0.7459 0.0000  1 Pd 2.58, 1 U 2.66
7 Se 0.2541 0.2541 0.4918  1 Pd 2.58, 1 U 2.66
8 Se 0.7459 0.7459 0.5082  1 Pd 2.58, 1 U 2.66
9 Rb 0.7500 0.2500 0.5000  12 Se 3.71
10 Rb 0.2500 0.7500 0.5000  12 Se 3.71



Entry 10:
The following is a DFT calculation (GGA-PBE) of a relaxed structure of Rb2UPd3Se6.

Properties
Total magnetic moment, μB/cell: 4.02
Formation energy from raw total energies, meV per atom: -869
DOS(E_F), states/eV per atom: 0.5641

Unit cell a=11.7871 b=10.1243 c=9.3538 alpha=74.36 beta=55.80 gamma=49.83
Last column: nearest neighbours and their distance in Å.
Atoms (fractional coordinates):
1 Rb 0.3248 0.6752 0.3248  6 Se 3.73-3.77
2 Rb 0.6752 0.3248 0.6752  6 Se 3.73-3.77
3 Rb 0.7500 0.7500 0.7500  8 Se 3.46
4 Rb 0.2500 0.2500 0.2500  8 Se 3.46
5 Se 0.5946 0.8131 0.1869  2 Pd 2.51
6 Se 0.1869 0.4054 0.5946  2 Pd 2.51
7 Se 0.8131 0.5946 0.4054  2 Pd 2.51
8 Se 0.0251 0.1787 0.1954  2 Pd 2.50-2.52
9 Se 0.8046 0.3991 0.9749  2 Pd 2.50-2.52
10 Se 0.8213 0.9749 0.3991  2 Pd 2.50-2.52
11 Se 0.1787 0.0251 0.6009  2 Pd 2.50-2.52
12 Se 0.9749 0.8213 0.8046  2 Pd 2.50-2.52
13 Se 0.1954 0.6009 0.0251  2 Pd 2.50-2.52
14 Se 0.3991 0.8046 0.8213  2 Pd 2.50-2.52
15 Se 0.6009 0.1954 0.1787  2 Pd 2.50-2.52
16 Se 0.4054 0.1869 0.8131  2 Pd 2.51
17 U 0.1678 0.1678 0.8322  6 Se 2.81-2.83
18 U 0.8322 0.8322 0.1678  6 Se 2.81-2.83
19 Pd 0.1730 0.5039 0.8270  4 Se 2.51-2.52
20 Pd 0.1700 0.8300 0.8300  4 Se 2.50
21 Pd 0.5039 0.1730 0.4961  4 Se 2.51-2.52
22 Pd 0.4961 0.8270 0.5039  4 Se 2.51-2.52
23 Pd 0.8300 0.1700 0.1700  4 Se 2.50
24 Pd 0.8270 0.4961 0.1730  4 Se 2.51-2.52



Which value of formation energy from raw total energies does entry 3 give? 1313 meV per atom



What is the formation energy from raw total energies in the fourth record? -1371 meV per atom